Entry 1:
The following is a PBE calculation of a relaxed structure of Hg5N4, from the Alexandria database.

- Symmetry: P-1
- D(E_F): 0.00 states/eV/f.u.
- Formation energy from raw total energies: 5 kJ/mol of atoms

Lattice parameters (Å, degrees): 6.702 8.023 8.182 88.07 65.93 85.74
Sites, in units of the cell vectors:
Hg  0.000  0.000  0.000
Hg  0.333  0.664  0.999
Hg  0.383  0.001  0.227
Hg  0.617  0.999  0.773
Hg  0.667  0.336  0.001
N  0.025  0.458  0.441
N  0.466  0.458  0.559
N  0.534  0.542  0.441
N  0.975  0.542  0.559

=====

Entry 2:
The following is a PBE calculation of a relaxed structure of Hg4N, from the Alexandria database.

- Symmetry: Pm-3m
- D(E_F): 3.74 states/eV/f.u.
- Formation energy from raw total energies: 68 kJ/mol of atoms

Lattice parameters (Å, degrees): 4.897 4.897 4.897 90.00 90.00 90.00
Sites, in units of the cell vectors:
Hg  0.000  0.000  0.000
Hg  0.000  0.500  0.500
Hg  0.500  0.000  0.500
Hg  0.500  0.500  0.000
N  0.500  0.500  0.500